InAg3PdSe4 after structural relaxation. Source: OQMD via LeMat-Bulk, functional PBE.

E = -3.496 eV/atom

Cell: 6.1252 6.1252 6.1252 Å, 90.00 90.00 90.00°
Last column: nearest neighbours and their distance in Å.
Space group P-43m (No. 215)
Inequivalent atoms, fractional coordinates:
In: 0.0000 0.0000 0.0000 (multiplicity 1)  4 Se 2.68
Ag: 0.0000 0.5000 0.5000 (multiplicity 3)  4 Se 2.64
Pd: 0.5000 0.5000 0.5000 (multiplicity 1)  4 Se 2.63
Se: 0.2521 0.2521 0.2521 (multiplicity 4)  1 Pd 2.63, 3 Ag 2.64, 1 In 2.68